1.
# ScTcOs2 (GGA-PBE, optimized geometry)
data_ScTcOs2
_space_group_name_H-M_alt 'P m m m'
_space_group_IT_number 47
_space_group_name_Hall '-P 2 2'
_cell_length_a 3.016
_cell_length_b 4.499
_cell_length_c 4.537
_cell_angle_alpha 90.00
_cell_angle_beta 90.00
_cell_angle_gamma 90.00
loop_
_atom_site_label
_atom_site_type_symbol
_atom_site_fract_x
_atom_site_fract_y
_atom_site_fract_z
Sc1 Sc 0.000 0.000 0.000
Tc1 Tc 0.500 0.000 0.500
Os1 Os 0.000 0.500 0.500
Os2 Os 0.500 0.500 0.000
# Energy above the lowest structure with this stoichiometry = 0.107 eV per atom

***

2.
# DyHgPb3 (GGA-PBE, optimized geometry)
data_DyHgPb3
_space_group_name_H-M_alt 'P 1 21/m 1'
_space_group_IT_number 11
_space_group_name_Hall '-P 2yb'
_cell_length_a 7.385
_cell_length_b 6.346
_cell_length_c 7.397
_cell_angle_alpha 90.00
_cell_angle_beta 102.51
_cell_angle_gamma 90.00
loop_
_atom_site_label
_atom_site_type_symbol
_atom_site_fract_x
_atom_site_fract_y
_atom_site_fract_z
Dy1 Dy 0.239 0.250 0.261
Hg1 Hg 0.493 0.750 0.007
Pb1 Pb 0.000 0.000 0.500
Pb2 Pb 0.063 0.750 0.108
Pb3 Pb 0.393 0.750 0.437
# Energy above the lowest structure with this stoichiometry = 0.052 eV per atom

***

3.
Density functional theory data (GGA-PBE) for a geometry-optimized Sc4ZnMo structure.

Cell and atoms, written as CIF:
```
data_Sc4ZnMo
_space_group_name_H-M_alt 'F -4 3 m'
_space_group_IT_number 216
_space_group_name_Hall 'F -4 2 3'
_cell_length_a 7.882
_cell_length_b 7.882
_cell_length_c 7.882
_cell_angle_alpha 90.00
_cell_angle_beta 90.00
_cell_angle_gamma 90.00
loop_
_atom_site_label
_atom_site_type_symbol
_atom_site_fract_x
_atom_site_fract_y
_atom_site_fract_z
Sc1 Sc 0.124 0.124 0.376
Zn1 Zn 0.000 0.000 0.000
Mo1 Mo 0.250 0.250 0.750
```

***

Going through the records in order, we get ΔH_f (0 K) values of 0.040, -0.009, 0.534 eV per atom.